Record 1
{"formula": "Li3HoNp2S6", "functional": "GGA-PBE", "state": "relaxed", "spacegroup": "No. 12", "e_form_raw_kj_per_mol_atoms": -145.9, "lattice": [[3.395, -5.879, 0.000], [3.395, 5.879, 0.000], [-2.264, 0.000, 6.152]], "species": ["Li", "Li", "Li", "Ho", "Np", "Np", "S", "S", "S", "S", "S", "S"], "frac_coords": [[0.000, 0.000, 0.000], [0.335, 0.665, 0.000], [0.665, 0.335, 0.000], [0.500, 0.500, 0.500], [0.167, 0.833, 0.500], [0.833, 0.167, 0.500], [0.084, 0.416, 0.248], [0.252, 0.252, 0.752], [0.416, 0.084, 0.248], [0.584, 0.916, 0.752], [0.748, 0.748, 0.248], [0.916, 0.584, 0.752]]}

---

Record 2
{"formula": "Li3HoNp3Se8", "functional": "GGA-PBE", "state": "relaxed", "spacegroup": "No. 166", "e_form_raw_kj_per_mol_atoms": -125.3, "lattice": [[4.103, 2.369, 6.451], [-4.103, 2.369, 6.451], [0.000, -4.737, 6.451]], "species": ["Li", "Li", "Li", "Ho", "Np", "Np", "Np", "Se", "Se", "Se", "Se", "Se", "Se", "Se", "Se"], "frac_coords": [[0.000, 0.500, 0.500], [0.500, 0.000, 0.500], [0.500, 0.500, 0.000], [0.500, 0.500, 0.500], [0.000, 0.000, 0.500], [0.000, 0.500, 0.000], [0.500, 0.000, 0.000], [0.251, 0.251, 0.251], [0.251, 0.251, 0.749], [0.251, 0.749, 0.251], [0.251, 0.749, 0.749], [0.749, 0.251, 0.251], [0.749, 0.251, 0.749], [0.749, 0.749, 0.251], [0.749, 0.749, 0.749]]}

---

Record 3
{"formula": "Li2HoNpSe4", "functional": "GGA-PBE", "state": "relaxed", "spacegroup": "No. 10", "e_form_raw_kj_per_mol_atoms": -138.1, "lattice": [[6.910, 0.000, 0.000], [0.000, 4.080, 0.000], [-2.441, 0.000, 6.655]], "species": ["Li", "Li", "Ho", "Np", "Se", "Se", "Se", "Se"], "frac_coords": [[0.000, 0.000, 0.000], [0.000, 0.500, 0.500], [0.500, 0.000, 0.500], [0.500, 0.500, 0.000], [0.245, 0.000, 0.745], [0.246, 0.500, 0.253], [0.754, 0.500, 0.747], [0.755, 0.000, 0.255]]}

---

Record 4
{"formula": "LiHo2NpSe4", "functional": "GGA-PBE", "state": "relaxed", "spacegroup": "No. 10", "e_form_raw_kj_per_mol_atoms": -147.5, "lattice": [[7.035, 0.000, 0.000], [0.000, 4.049, 0.000], [-2.356, 0.000, 6.629]], "species": ["Li", "Ho", "Ho", "Np", "Se", "Se", "Se", "Se"], "frac_coords": [[0.000, 0.000, 0.000], [0.000, 0.500, 0.500], [0.500, 0.000, 0.500], [0.500, 0.500, 0.000], [0.243, 0.000, 0.750], [0.243, 0.500, 0.248], [0.757, 0.000, 0.250], [0.757, 0.500, 0.752]]}

---

Record 5
{"formula": "Li4HoNp3Se8", "functional": "GGA-PBE", "state": "relaxed", "spacegroup": "No. 166", "e_form_raw_kj_per_mol_atoms": -126.5, "lattice": [[4.092, 2.363, 6.483], [-4.092, 2.363, 6.483], [0.000, -4.725, 6.483]], "species": ["Li", "Li", "Li", "Li", "Ho", "Np", "Np", "Np", "Se", "Se", "Se", "Se", "Se", "Se", "Se", "Se"], "frac_coords": [[0.000, 0.000, 0.000], [0.000, 0.500, 0.500], [0.500, 0.000, 0.500], [0.500, 0.500, 0.000], [0.500, 0.500, 0.500], [0.000, 0.000, 0.500], [0.000, 0.500, 0.000], [0.500, 0.000, 0.000], [0.250, 0.250, 0.745], [0.250, 0.745, 0.250], [0.251, 0.251, 0.251], [0.255, 0.750, 0.750], [0.745, 0.250, 0.250], [0.749, 0.749, 0.749], [0.750, 0.255, 0.750], [0.750, 0.750, 0.255]]}

---

Record 6
{"formula": "LiHoNpSe3", "functional": "GGA-PBE", "state": "relaxed", "spacegroup": "No. 11", "e_form_raw_kj_per_mol_atoms": -131.8, "lattice": [[8.403, 0.000, 0.000], [0.000, 3.972, 0.000], [-2.010, 0.000, 8.546]], "species": ["Li", "Li", "Ho", "Ho", "Np", "Np", "Se", "Se", "Se", "Se", "Se", "Se"], "frac_coords": [[0.086, 0.250, 0.080], [0.914, 0.750, 0.920], [0.334, 0.750, 0.334], [0.666, 0.250, 0.666], [0.177, 0.250, 0.717], [0.823, 0.750, 0.283], [0.098, 0.250, 0.366], [0.225, 0.750, 0.995], [0.426, 0.750, 0.671], [0.574, 0.250, 0.329], [0.775, 0.250, 0.005], [0.902, 0.750, 0.634]]}